Record 1
DFT (PBE-GGA) results for an optimized crystal structure of TbZrFeNi.

Cell lengths 4.628, 4.628, 4.628 Å; angles 60.00, 60.00, 60.00 degrees
Fractional coordinates of all 4 atoms:
Tb: 0.000 0.000 0.000
Zr: 0.500 0.500 0.500
Fe: 0.250 0.250 0.250
Ni: 0.750 0.750 0.750

Output
Formation energy   -0.49 eV per formula unit
SG   F-43m, No. 216
Density of states at the Fermi level   3.0 states/eV/f.u.
Calculated density   8.64 g/cm³
Calculated total energy   -27.91 eV for the cell shown


Record 2
DFT (PBE-GGA) results for an optimized crystal structure of LaHoAu.

Cell lengths 8.227, 4.939, 8.465 Å; angles 90.00, 90.00, 90.00 degrees
Fractional coordinates of all 12 atoms:
La: 0.039 0.250 0.158
La: 0.461 0.750 0.658
La: 0.539 0.250 0.342
La: 0.961 0.750 0.842
Ho: 0.142 0.250 0.579
Ho: 0.358 0.750 0.079
Ho: 0.642 0.250 0.921
Ho: 0.858 0.750 0.421
Au: 0.211 0.750 0.392
Au: 0.289 0.250 0.892
Au: 0.711 0.750 0.108
Au: 0.789 0.250 0.608

Output
Formation energy   -1.78 eV per formula unit
SG   Pnma, No. 62
Density of states at the Fermi level   3.5 states/eV/f.u.
Calculated density   9.67 g/cm³
Offset from the most stable computed form   0 meV/atom
Calculated total energy   -58.25 eV for the cell shown


Record 3
DFT (PBE-GGA) results for an optimized crystal structure of Cs2Tm2NpTe6.

Cell lengths 7.659, 7.659, 9.541 Å; angles 97.76, 97.76, 120.07 degrees
Fractional coordinates of all 11 atoms:
Cs: 0.167 0.833 0.000
Cs: 0.833 0.167 0.000
Tm: 0.332 0.668 0.500
Tm: 0.668 0.332 0.500
Np: 0.000 0.000 0.500
Te: 0.065 0.396 0.687
Te: 0.272 0.272 0.314
Te: 0.396 0.065 0.687
Te: 0.604 0.935 0.313
Te: 0.728 0.728 0.686
Te: 0.935 0.604 0.313

Output
ΔE_f (raw)   -1.1666 eV/atom
SG   C2/m, No. 12
Density of states at the Fermi level   3.6 states/eV/f.u.
Calculated density   5.72 g/cm³
Calculated total energy   -55.27 eV for the cell shown


Record 4
DFT (PBE-GGA) results for an optimized crystal structure of CsHf3Pb.

Cell lengths 5.293, 5.293, 5.293 Å; angles 90.00, 90.00, 90.00 degrees
Fractional coordinates of all 5 atoms:
Cs: 0.000 0.000 0.000
Hf: 0.000 0.000 0.500
Hf: 0.000 0.500 0.000
Hf: 0.500 0.000 0.000
Pb: 0.500 0.500 0.500

Output
Formation energy   10.89 eV per formula unit
SG   Pm-3m, No. 221
Density of states at the Fermi level   7.1 states/eV/f.u.
Calculated density   9.80 g/cm³
Offset from the most stable computed form   606 meV/atom
Calculated total energy   -23.54 eV for the cell shown